1.
This record from Alexandria via LeMat-Bulk describes TlCuRhSe2 after structural relaxation. The functional is PBE-GGA.

a b c (Å): 5.181 8.115 5.689
angles (deg): 110.60 90.00 90.00
Fractional positions:
Tl  0.770  0.500  0.250
Tl  0.230  0.500  0.750
Se  0.297  0.770  0.385
Se  0.703  0.770  0.885
Se  0.297  0.230  0.115
Se  0.703  0.230  0.615
Cu  0.000  0.000  0.500
Cu  0.000  0.000  0.000
Rh  0.499  0.000  0.750
Rh  0.501  0.000  0.250

Computed properties:
uncorrected formation energy: -3.80 kcal/mol of atoms
space group: No. 13
calculated density: 7.8 Mg/m³



2.
This record from Alexandria via LeMat-Bulk describes ScAg2Mo after structural relaxation. The functional is PBE-GGA.

a b c (Å): 2.815 2.815 8.960
angles (deg): 90.00 90.00 90.00
Fractional positions:
Ag  0.000  0.000  0.005
Ag  0.000  0.000  0.495
Mo  0.500  0.500  0.250
Sc  0.500  0.500  0.750

Computed properties:
formation energy from the elements: 288 meV/atom
space group: No. 123
calculated density: 8.3 Mg/m³



3.
This record from Alexandria via LeMat-Bulk describes ThAs3 after structural relaxation. The functional is PBE-GGA.

a b c (Å): 4.417 4.417 4.417
angles (deg): 90.00 90.00 90.00
Fractional positions:
As  0.500  0.500  0.917
As  0.000  0.000  0.917
As  0.500  0.000  0.417
Th  0.000  0.500  0.417

Computed properties:
formation energy from the elements: -681 meV/atom
space group: No. 221
calculated density: 8.8 Mg/m³



4.
This record from Alexandria via LeMat-Bulk describes NdTm5Zn6 after structural relaxation. The functional is PBE-GGA.

a b c (Å): 4.999 7.126 7.939
angles (deg): 90.00 71.65 90.00
Fractional positions:
Tm  0.000  0.500  0.000
Tm  0.336  0.500  0.329
Tm  0.331  0.000  0.338
Tm  0.664  0.500  0.671
Tm  0.669  0.000  0.662
Zn  0.171  0.742  0.659
Zn  0.829  0.742  0.341
Zn  0.500  0.258  0.000
Zn  0.500  0.742  0.000
Zn  0.829  0.258  0.341
Zn  0.171  0.258  0.659
Nd  0.000  0.000  0.000

Computed properties:
formation energy from the elements: -336 meV/atom
space group: No. 65
calculated density: 8.5 Mg/m³